Crystalline MgTcBW at its relaxed geometry, computed with GGA-PBE.

abc: 4.2324 4.2324 4.2324
angles: 60.00 60.00 60.00
Fractional coordinates of all 4 atoms:
Tc: 0.5000 0.5000 0.5000
Mg: 0.7500 0.7500 0.7500
B: 0.0000 0.0000 0.0000
W: 0.2500 0.2500 0.2500

Values from the calculation:
ρ (g/cm3): 9.82
Volume (A^3/atom): 13.40

***

Crystalline UFeW at its relaxed geometry, computed with GGA-PBE.

abc: 4.2573 4.2573 4.2573
angles: 60.00 60.00 60.00
Fractional coordinates of all 3 atoms:
U: 0.7500 0.7500 0.7500
Fe: 0.0000 0.0000 0.0000
W: 0.2500 0.2500 0.2500

Values from the calculation:
ρ (g/cm3): 14.54
Volume (A^3/atom): 18.19
Energy of formation (eV per atom): 0.655

***

Crystalline RbNbF3 at its relaxed geometry, computed with GGA-PBE.

abc: 4.3622 4.3622 4.3622
angles: 90.00 90.00 90.00
Fractional coordinates of all 5 atoms:
F: 0.0000 0.0000 0.5000
Rb: 0.5000 0.5000 0.5000
F: 0.5000 0.0000 0.0000
Nb: 0.0000 0.0000 0.0000
F: 0.0000 0.5000 0.0000

Values from the calculation:
ρ (g/cm3): 4.71
Volume (A^3/atom): 16.60

***

Crystalline Cd2AgAu at its relaxed geometry, computed with GGA-PBE.

abc: 6.1300 6.7194 7.4539
angles: 90.00 90.00 90.00
Fractional coordinates of all 16 atoms:
Cd: 0.4997 0.5000 0.7507
Au: 0.2508 0.2500 0.5000
Au: 0.2492 0.2500 0.0000
Cd: 0.9997 0.0000 0.7493
Cd: 0.4997 0.0000 0.7507
Cd: 0.5003 0.5000 0.2493
Au: 0.7508 0.7500 0.0000
Cd: 0.9997 0.5000 0.7493
Ag: 0.2493 0.7500 0.0000
Cd: 0.0003 0.5000 0.2507
Au: 0.7492 0.7500 0.5000
Cd: 0.5003 0.0000 0.2493
Ag: 0.7507 0.2500 0.0000
Ag: 0.2507 0.7500 0.5001
Ag: 0.7493 0.2500 0.4999
Cd: 0.0003 0.0000 0.2507

Values from the calculation:
ρ (g/cm3): 11.46
Volume (A^3/atom): 19.19
Energy of formation (eV per atom): -0.130

***

Crystalline LaSnPIr2 at its relaxed geometry, computed with GGA-PBE.

abc: 4.4160 4.4160 10.2076
angles: 90.00 90.00 90.00
Fractional coordinates of all 10 atoms:
La: 0.5000 0.0000 0.7247
P: 0.0000 0.0000 0.5000
La: 0.0000 0.5000 0.2753
P: 0.5000 0.5000 0.5000
Ir: 0.5000 0.0000 0.4068
Sn: 0.5000 0.0000 0.1430
Ir: 0.0000 0.0000 0.0000
Sn: 0.0000 0.5000 0.8570
Ir: 0.5000 0.5000 0.0000
Ir: 0.0000 0.5000 0.5932

Values from the calculation:
ρ (g/cm3): 11.23
Volume (A^3/atom): 19.91

***

Crystalline Cs2InAgF6 at its relaxed geometry, computed with GGA-PBE.

abc: 6.2698 6.2698 6.2698
angles: 59.87 59.87 59.87
Fractional coordinates of all 10 atoms:
F: 0.2165 0.7644 0.2514
Cs: 0.7504 0.7504 0.7504
F: 0.2514 0.2165 0.7644
Ag: 0.4998 0.4998 0.4998
F: 0.2354 0.7485 0.7828
In: 0.9998 0.9998 0.9998
F: 0.7828 0.2354 0.7485
F: 0.7644 0.2514 0.2165
F: 0.7485 0.7828 0.2354
Cs: 0.2492 0.2492 0.2492

Values from the calculation:
ρ (g/cm3): 5.76
Volume (A^3/atom): 17.38

***

Crystalline LaPa at its relaxed geometry, computed with GGA-PBE.

abc: 4.3071 4.3071 4.3071
angles: 60.00 60.00 60.00
Fractional coordinates of all 2 atoms:
Pa: 0.5000 0.5000 0.5000
La: 0.0000 0.0000 0.0000

Values from the calculation:
ρ (g/cm3): 10.87
Volume (A^3/atom): 28.25
Energy of formation (eV per atom): 0.942

***

Crystalline NaAuSeO at its relaxed geometry, computed with GGA-PBE.

abc: 3.4330 7.6487 5.7637
angles: 90.00 90.00 90.00
Fractional coordinates of all 8 atoms:
O: 0.5000 0.9381 0.3248
Se: 0.0000 0.5299 0.9446
Se: 0.0000 0.4701 0.4446
O: 0.5000 0.0619 0.8248
Au: 0.5000 0.7324 0.1147
Na: 0.0000 0.9069 0.6068
Au: 0.5000 0.2676 0.6147
Na: 0.0000 0.0931 0.1068

Values from the calculation:
ρ (g/cm3): 6.91
Volume (A^3/atom): 18.92

***

Crystalline SrTbGa at its relaxed geometry, computed with GGA-PBE.

abc: 5.2306 5.2306 5.2306
angles: 60.00 60.00 60.00
Fractional coordinates of all 3 atoms:
Ga: 0.0000 0.0000 0.0000
Sr: 0.2500 0.2500 0.2500
Tb: 0.7500 0.7500 0.7500

Values from the calculation:
ρ (g/cm3): 5.19
Volume (A^3/atom): 33.73

***

Crystalline NdGe2Sb2 at its relaxed geometry, computed with GGA-PBE.

abc: 5.5429 5.5429 8.8817
angles: 90.00 90.00 90.00
Fractional coordinates of all 10 atoms:
Nd: 0.0000 0.5000 0.2573
Sb: 0.0000 0.0000 0.5000
Ge: 0.0000 0.5000 0.5902
Sb: 0.5000 0.0000 0.1024
Nd: 0.5000 0.0000 0.7427
Sb: 0.0000 0.5000 0.8976
Ge: 0.5000 0.0000 0.4098
Ge: 0.5000 0.5000 0.0000
Ge: 0.0000 0.0000 0.0000
Sb: 0.5000 0.5000 0.5000

Values from the calculation:
ρ (g/cm3): 6.49
Volume (A^3/atom): 27.29

***

Crystalline HfCdIr2 at its relaxed geometry, computed with GGA-PBE.

abc: 4.6037 4.6037 4.6037
angles: 60.00 60.00 60.00
Fractional coordinates of all 4 atoms:
Cd: 0.7500 0.7500 0.7500
Hf: 0.5000 0.5000 0.5000
Ir: 0.0000 0.0000 0.0000
Ir: 0.2500 0.2500 0.2500

Values from the calculation:
ρ (g/cm3): 16.25
Volume (A^3/atom): 17.25
Energy of formation (eV per atom): -0.032

***

Crystalline TbDySn at its relaxed geometry, computed with GGA-PBE.

abc: 5.1381 5.1381 5.1381
angles: 60.00 60.00 60.00
Fractional coordinates of all 3 atoms:
Sn: 0.0000 0.0000 0.0000
Dy: 0.2500 0.2500 0.2500
Tb: 0.7500 0.7500 0.7500

Values from the calculation:
ρ (g/cm3): 7.62
Volume (A^3/atom): 31.97

***

Crystalline TbTe at its relaxed geometry, computed with GGA-PBE.

abc: 4.8627 4.8627 4.8627
angles: 60.00 60.00 60.00
Fractional coordinates of all 2 atoms:
Te: 0.2500 0.2500 0.2500
Tb: 0.0000 0.0000 0.0000

Values from the calculation:
ρ (g/cm3): 5.85
Volume (A^3/atom): 40.65

***

Crystalline Co at its relaxed geometry, computed with GGA-PBE.

abc: 2.4643 3.4771 33.1780
angles: 90.00 90.00 90.00
Fractional coordinates of all 16 atoms:
Co: 0.5000 0.5000 0.6296
Co: 0.0000 0.0000 0.5185
Co: 0.0000 0.0000 0.6673
Co: 0.5000 0.5000 0.2572
Co: 0.5000 0.5000 0.7760
Co: 0.5000 0.5000 0.7043
Co: 0.0000 0.0000 0.2240
Co: 0.0000 0.0000 0.4444
Co: 0.0000 0.0000 0.5927
Co: 0.0000 0.0000 0.7428
Co: 0.5000 0.5000 0.4073
Co: 0.5000 0.5000 0.5556
Co: 0.5000 0.5000 0.4814
Co: 0.5000 0.5000 0.3327
Co: 0.0000 0.0000 0.2957
Co: 0.0000 0.0000 0.3704

Values from the calculation:
ρ (g/cm3): 5.51
Volume (A^3/atom): 17.77
Energy of formation (eV per atom): 0.167

***

Crystalline KTaPt at its relaxed geometry, computed with GGA-PBE.

abc: 4.6963 4.6963 4.6963
angles: 60.00 60.00 60.00
Fractional coordinates of all 3 atoms:
Ta: 0.7500 0.7500 0.7500
K: 0.2500 0.2500 0.2500
Pt: 0.0000 0.0000 0.0000

Values from the calculation:
ρ (g/cm3): 9.41
Volume (A^3/atom): 24.41

***

Crystalline NaPd2I2 at its relaxed geometry, computed with GGA-PBE.

abc: 10.8511 10.8511 10.8511
angles: 152.76 152.76 38.91
Fractional coordinates of all 10 atoms:
Na: 0.6231 0.6231 0.0000
Pd: 0.2500 0.7500 0.5000
I: 0.0000 0.5000 0.5000
I: 0.1927 0.1927 0.0000
Pd: 0.0648 0.0648 0.0000
I: 0.5000 0.0000 0.5000
Na: 0.3769 0.3769 0.0000
I: 0.8073 0.8073 0.0000
Pd: 0.7500 0.2500 0.5000
Pd: 0.9352 0.9352 0.0000

Values from the calculation:
ρ (g/cm3): 6.08
Volume (A^3/atom): 26.73

***

Crystalline Pr2Nd2CI3Cl2 at its relaxed geometry, computed with GGA-PBE.

abc: 9.2901 9.2901 8.9523
angles: 102.21 102.21 25.32
Fractional coordinates of all 10 atoms:
I: 0.5000 0.5000 0.5000
I: 0.8255 0.8255 0.6612
Cl: 0.1698 0.1698 0.8571
I: 0.1745 0.1745 0.3388
Cl: 0.8302 0.8302 0.1429
Pr: 0.0036 0.0036 0.8057
Pr: 0.9964 0.9964 0.1943
C: 0.5000 0.5000 0.0000
Nd: 0.3577 0.3577 0.9346
Nd: 0.6423 0.6423 0.0654

Values from the calculation:
ρ (g/cm3): 5.32
Volume (A^3/atom): 32.25

***

Crystalline ScTa2Co at its relaxed geometry, computed with GGA-PBE.

abc: 4.5510 4.5510 4.5510
angles: 60.00 60.00 60.00
Fractional coordinates of all 4 atoms:
Ta: 0.7500 0.7500 0.7500
Ta: 0.0000 0.0000 0.0000
Sc: 0.5000 0.5000 0.5000
Co: 0.2500 0.2500 0.2500

Values from the calculation:
ρ (g/cm3): 11.60
Volume (A^3/atom): 16.66
Energy of formation (eV per atom): 0.156

***

Crystalline LiFeNiSb at its relaxed geometry, computed with GGA-PBE.

abc: 4.2066 4.2066 4.2066
angles: 60.00 60.00 60.00
Fractional coordinates of all 4 atoms:
Sb: 0.0000 0.0000 0.0000
Ni: 0.7500 0.7500 0.7500
Li: 0.5000 0.5000 0.5000
Fe: 0.2500 0.2500 0.2500

Values from the calculation:
ρ (g/cm3): 7.67
Volume (A^3/atom): 13.16

***

Crystalline MgScPt2 at its relaxed geometry, computed with GGA-PBE.

abc: 4.4807 4.4807 8.4281
angles: 90.00 90.00 120.00
Fractional coordinates of all 8 atoms:
Pt: 0.3333 0.6667 0.9072
Sc: 0.0000 0.0000 0.5000
Sc: 0.0000 0.0000 0.0000
Mg: 0.6667 0.3333 0.7500
Pt: 0.6667 0.3333 0.0928
Mg: 0.3333 0.6667 0.2500
Pt: 0.6667 0.3333 0.4072
Pt: 0.3333 0.6667 0.5928

Values from the calculation:
ρ (g/cm3): 10.41
Volume (A^3/atom): 18.32

***

Crystalline AlTcNO at its relaxed geometry, computed with GGA-PBE.

abc: 4.8702 5.2694 7.4744
angles: 90.00 90.00 90.00
Fractional coordinates of all 16 atoms:
Al: 0.0159 0.5733 0.3838
N: 0.0906 0.9126 0.8253
N: 0.0906 0.4126 0.1747
N: 0.5906 0.0874 0.1747
O: 0.6654 0.6265 0.4434
Tc: 0.9304 0.6237 0.9703
O: 0.1654 0.3735 0.5566
Tc: 0.4304 0.8763 0.9703
Al: 0.5159 0.9267 0.3838
Al: 0.5159 0.4267 0.6162
Tc: 0.4304 0.3763 0.0297
O: 0.1654 0.8735 0.4434
O: 0.6654 0.1265 0.5566
Tc: 0.9304 0.1237 0.0297
N: 0.5906 0.5874 0.8253
Al: 0.0159 0.0733 0.6162

Values from the calculation:
ρ (g/cm3): 5.37
Volume (A^3/atom): 11.99

***

Crystalline LaSnAsPd2 at its relaxed geometry, computed with GGA-PBE.

abc: 4.6149 4.6149 10.1549
angles: 90.00 90.00 90.00
Fractional coordinates of all 10 atoms:
Pd: 0.0000 0.5000 0.6050
As: 0.5000 0.5000 0.5000
Sn: 0.5000 0.0000 0.1347
As: 0.0000 0.0000 0.5000
Pd: 0.5000 0.5000 0.0000
La: 0.0000 0.5000 0.2667
Sn: 0.0000 0.5000 0.8653
La: 0.5000 0.0000 0.7333
Pd: 0.0000 0.0000 0.0000
Pd: 0.5000 0.0000 0.3950

Values from the calculation:
ρ (g/cm3): 8.37
Volume (A^3/atom): 21.63

***

Crystalline KSmGeTe3 at its relaxed geometry, computed with GGA-PBE.

abc: 8.1019 8.1019 12.1180
angles: 90.00 90.00 146.15
Fractional coordinates of all 12 atoms:
K: 0.2535 0.7465 0.7500
Te: 0.1343 0.8657 0.4482
Ge: 0.0337 0.9663 0.2500
Te: 0.5721 0.4279 0.7500
Ge: 0.9663 0.0337 0.7500
Te: 0.8657 0.1343 0.5518
Sm: 0.5000 0.5000 0.5000
K: 0.7465 0.2535 0.2500
Te: 0.1343 0.8657 0.0518
Sm: 0.5000 0.5000 0.0000
Te: 0.8657 0.1343 0.9482
Te: 0.4279 0.5721 0.2500

Values from the calculation:
ρ (g/cm3): 4.83
Volume (A^3/atom): 36.93

***

Crystalline AcPuSn at its relaxed geometry, computed with GGA-PBE.

abc: 5.4070 5.4070 5.4070
angles: 60.00 60.00 60.00
Fractional coordinates of all 3 atoms:
Ac: 0.0000 0.0000 0.0000
Sn: 0.7500 0.7500 0.7500
Pu: 0.2500 0.2500 0.2500

Values from the calculation:
ρ (g/cm3): 8.76
Volume (A^3/atom): 37.26

***

Crystalline AcTmAl at its relaxed geometry, computed with GGA-PBE.

abc: 5.3587 5.3587 5.3587
angles: 60.00 60.00 60.00
Fractional coordinates of all 3 atoms:
Al: 0.2500 0.2500 0.2500
Tm: 0.7500 0.7500 0.7500
Ac: 0.0000 0.0000 0.0000

Values from the calculation:
ρ (g/cm3): 6.45
Volume (A^3/atom): 36.27

***

no.,electronic total energy (eV per atom)
1,-7.39
2,-10.20
3,-5.53
4,-2.10
5,-7.25
6,-4.20
7,-6.27
8,-3.68
9,-3.23
10,-4.56
11,-7.17
12,-4.81
13,-4.75
14,-6.94
15,-5.26
16,-3.15
17,-5.00
18,-9.13
19,-5.07
20,-5.93
21,-8.16
22,-5.67
23,-4.17
24,-7.17
25,-3.46